{"formula": "USi4", "functional": "PBE", "state": "relaxed", "formation_energy_uncorrected_ev_per_fu": 7.9, "density_g_cm3": 4.1, "lattice": [[5.2161, 0.0000, 0.0000], [0.0000, 5.2161, 0.0000], [0.0000, 0.0000, 5.2161]], "species": ["U", "Si", "Si", "Si", "Si"], "frac_coords": [[0.0000, 0.0000, 0.0000], [0.0000, 0.0000, 0.5000], [0.0000, 0.5000, 0.0000], [0.5000, 0.0000, 0.0000], [0.5000, 0.5000, 0.5000]]}

***

{"formula": "UVSi", "functional": "PBE", "state": "relaxed", "formation_energy_uncorrected_ev_per_fu": -0.7, "density_g_cm3": 10.9, "lattice": [[1.4384, -9.4778, 0.0000], [1.4384, 9.4778, 0.0000], [0.0000, 0.0000, 3.5471]], "species": ["U", "U", "V", "V", "Si", "Si"], "frac_coords": [[0.0478, 0.9522, 0.7500], [0.9522, 0.0478, 0.2500], [0.2141, 0.7859, 0.7500], [0.7859, 0.2141, 0.2500], [0.3487, 0.6513, 0.7500], [0.6513, 0.3487, 0.2500]]}

***

{"formula": "UVSi", "functional": "PBE", "state": "relaxed", "formation_energy_uncorrected_ev_per_fu": -1.1, "density_g_cm3": 10.6, "lattice": [[1.7101, -6.8822, 0.0000], [1.7101, 6.8822, 0.0000], [0.0000, 0.0000, 4.2154]], "species": ["U", "U", "V", "V", "Si", "Si"], "frac_coords": [[0.0575, 0.9425, 0.7500], [0.9425, 0.0575, 0.2500], [0.2638, 0.7362, 0.2500], [0.7362, 0.2638, 0.7500], [0.3683, 0.6317, 0.7500], [0.6317, 0.3683, 0.2500]]}

***

{"formula": "UV2Si", "functional": "PBE", "state": "relaxed", "formation_energy_uncorrected_ev_per_fu": -0.5, "density_g_cm3": 10.1, "lattice": [[0.0000, 3.1125, 3.1125], [3.1125, 0.0000, 3.1125], [3.1125, 3.1125, 0.0000]], "species": ["U", "V", "V", "Si"], "frac_coords": [[0.0000, 0.0000, 0.0000], [0.2500, 0.2500, 0.2500], [0.7500, 0.7500, 0.7500], [0.5000, 0.5000, 0.5000]]}

***

{"formula": "UVSi2", "functional": "PBE", "state": "relaxed", "formation_energy_uncorrected_ev_per_fu": -0.7, "density_g_cm3": 8.8, "lattice": [[3.2124, 0.0000, 0.0000], [0.0000, 3.2124, 0.0000], [0.0000, 0.0000, 6.3172]], "species": ["U", "V", "Si", "Si"], "frac_coords": [[0.0000, 0.0000, 0.0000], [0.0000, 0.0000, 0.5000], [0.5000, 0.5000, 0.3065], [0.5000, 0.5000, 0.6935]]}

***

{"formula": "UVSi2", "functional": "PBE", "state": "relaxed", "formation_energy_uncorrected_ev_per_fu": -0.8, "density_g_cm3": 8.5, "lattice": [[2.0936, 1.2087, 4.4662], [-2.0936, 1.2087, 4.4662], [0.0000, -2.4175, 4.4662]], "species": ["U", "V", "Si", "Si"], "frac_coords": [[0.0000, 0.0000, 0.0000], [0.5000, 0.5000, 0.5000], [0.2234, 0.2234, 0.2234], [0.7766, 0.7766, 0.7766]]}

***

{"formula": "UVSi", "functional": "PBE", "state": "relaxed", "formation_energy_uncorrected_ev_per_fu": -0.2, "density_g_cm3": 10.5, "lattice": [[4.4889, 0.0000, 0.0000], [-2.2445, 3.8875, 0.0000], [0.0000, 0.0000, 2.8821]], "species": ["U", "V", "Si"], "frac_coords": [[0.0000, 0.0000, 0.0000], [0.6667, 0.3333, 0.5000], [0.3333, 0.6667, 0.5000]]}

***

{"formula": "UV2Si", "functional": "PBE", "state": "relaxed", "formation_energy_uncorrected_ev_per_fu": 0.0, "density_g_cm3": 9.5, "lattice": [[3.2004, 0.0000, 0.0000], [0.0000, 3.2004, 0.0000], [0.0000, 0.0000, 6.2872]], "species": ["U", "V", "V", "Si"], "frac_coords": [[0.0000, 0.0000, 0.0000], [0.5000, 0.5000, 0.3149], [0.5000, 0.5000, 0.6851], [0.0000, 0.0000, 0.5000]]}

***

{"formula": "UVSi", "functional": "PBE", "state": "relaxed", "formation_energy_uncorrected_ev_per_fu": -1.1, "density_g_cm3": 10.4, "lattice": [[7.2568, 0.0000, 0.0000], [0.0000, 3.5720, 0.0000], [0.0000, 0.0000, 7.8025]], "species": ["U", "U", "U", "U", "V", "V", "V", "V", "Si", "Si", "Si", "Si"], "frac_coords": [[0.0207, 0.2500, 0.1205], [0.4793, 0.7500, 0.6205], [0.5207, 0.2500, 0.3795], [0.9793, 0.7500, 0.8795], [0.1235, 0.2500, 0.5603], [0.3765, 0.7500, 0.0603], [0.6235, 0.2500, 0.9397], [0.8765, 0.7500, 0.4397], [0.2076, 0.7500, 0.3496], [0.2924, 0.2500, 0.8496], [0.7076, 0.7500, 0.1504], [0.7924, 0.2500, 0.6504]]}

***

{"formula": "UV2Si", "functional": "PBE", "state": "relaxed", "formation_energy_uncorrected_ev_per_fu": -0.7, "density_g_cm3": 10.1, "lattice": [[4.2281, 0.0000, 0.0000], [0.0000, 4.2281, 0.0000], [0.0000, 0.0000, 3.3910]], "species": ["U", "V", "V", "Si"], "frac_coords": [[0.0000, 0.0000, 0.0000], [0.0000, 0.5000, 0.5000], [0.5000, 0.0000, 0.5000], [0.5000, 0.5000, 0.0000]]}

***

{"formula": "USiW", "functional": "PBE", "state": "relaxed", "formation_energy_uncorrected_ev_per_fu": 0.3, "density_g_cm3": 14.1, "lattice": [[4.6540, 0.0000, 0.0000], [-2.3270, 4.0305, 0.0000], [0.0000, 0.0000, 2.8231]], "species": ["U", "Si", "W"], "frac_coords": [[0.0000, 0.0000, 0.0000], [0.3333, 0.6667, 0.5000], [0.6667, 0.3333, 0.5000]]}

***

{"formula": "U2Si4W3", "functional": "PBE", "state": "relaxed", "formation_energy_uncorrected_ev_per_fu": -2.9, "density_g_cm3": 12.6, "lattice": [[6.8706, 0.0000, 0.0000], [0.0000, 6.8966, 0.0000], [-2.2884, 0.0000, 6.3500]], "species": ["U", "U", "U", "U", "Si", "Si", "Si", "Si", "Si", "Si", "Si", "Si", "W", "W", "W", "W", "W", "W"], "frac_coords": [[0.1857, 0.1647, 0.0568], [0.1857, 0.3353, 0.5568], [0.8143, 0.6647, 0.4432], [0.8143, 0.8353, 0.9432], [0.0886, 0.5440, 0.8687], [0.0886, 0.9560, 0.3687], [0.4989, 0.6327, 0.6326], [0.4989, 0.8673, 0.1326], [0.5011, 0.1327, 0.8674], [0.5011, 0.3673, 0.3674], [0.9114, 0.0440, 0.6313], [0.9114, 0.4560, 0.1313], [0.2449, 0.6631, 0.2531], [0.2449, 0.8369, 0.7531], [0.5000, 0.0000, 0.5000], [0.5000, 0.5000, 0.0000], [0.7551, 0.1631, 0.2469], [0.7551, 0.3369, 0.7469]]}

***

Per-record raw total energy, eV per atom: -5.02, -8.86, -8.98, -8.86, -7.99, -8.03, -8.67, -8.74, -8.99, -8.91, -9.78, -9.55